Below is a relaxed Pm2BiN crystal, with properties calculated at the GGA-PBE level.

a = 4.253 Å, b = 7.570 Å, c = 13.329 Å
α = 90.00°, β = 90.00°, γ = 90.00°
Fractional coordinates of all 16 atoms:
Pm 0.750 0.672 0.040
Bi 0.750 0.109 0.134
N 0.250 0.047 0.413
Pm 0.250 0.828 0.540
Pm 0.250 0.396 0.230
Bi 0.750 0.609 0.366
Pm 0.250 0.328 0.960
Pm 0.250 0.896 0.270
Pm 0.750 0.172 0.460
N 0.250 0.547 0.087
N 0.750 0.953 0.587
Pm 0.750 0.604 0.770
N 0.750 0.453 0.913
Pm 0.750 0.104 0.730
Bi 0.250 0.891 0.866
Bi 0.250 0.391 0.634

* space group: Pnma
* calculated density: 7.940 Mg/m³
* formation energy (no corrections): -4.56 eV/f.u.
* crystal system: orthorhombic